Entry 1:
An optimized crystal structure of NaSmGdAl, computed with PBE.

a = 7.566 Å, b = 7.566 Å, c = 7.566 Å
α = 90.00°, β = 90.00°, γ = 90.00°
Space group F-43m (No. 216)
Symmetry-distinct sites (fractional):
Na 0.000 0.000 0.000 x4
Sm 0.250 0.250 0.250 x4
Gd 0.250 0.250 0.750 x4
Al 0.000 0.000 0.500 x4

Properties
ΔH_f (0 K) (eV per atom): -0.0555
Total DFT energy (no corrections) (eV/atom): -6.021

---

Entry 2:
An optimized crystal structure of BaReMo2, computed with PBE.

a = 4.844 Å, b = 4.844 Å, c = 3.196 Å
α = 90.00°, β = 90.00°, γ = 90.00°
Space group P4/mmm (No. 123)
Symmetry-distinct sites (fractional):
Ba 0.000 0.000 0.000 x1
Re 0.500 0.500 0.000 x1
Mo 0.000 0.500 0.500 x2

Properties
Excess energy over the best structure of this formula in the dataset (meV per atom): 642
ΔH_f (0 K) (eV per atom): 1.3879
Total DFT energy (no corrections) (eV/atom): -7.620

---

Entry 3:
An optimized crystal structure of AcPd4Pt2, computed with PBE.

a = 8.747 Å, b = 6.913 Å, c = 5.388 Å
α = 90.00°, β = 127.79°, γ = 90.00°
Space group C2/m (No. 12)
Symmetry-distinct sites (fractional):
Ac 0.000 0.000 0.000 x2
Pd 0.202 0.202 0.702 x8
Pt 0.000 0.500 0.250 x4

Properties
Excess energy over the best structure of this formula in the dataset (meV per atom): 0
ΔH_f (0 K) (eV per atom): -0.5318
Total DFT energy (no corrections) (eV/atom): -5.812

---

Entry 4:
An optimized crystal structure of TmPaMnOs, computed with PBE.

a = 6.793 Å, b = 6.793 Å, c = 6.793 Å
α = 90.00°, β = 90.00°, γ = 90.00°
Space group F-43m (No. 216)
Symmetry-distinct sites (fractional):
Tm 0.000 0.000 0.000 x4
Pa 0.000 0.000 0.500 x4
Mn 0.250 0.250 0.250 x4
Os 0.250 0.250 0.750 x4

Properties
ΔH_f (0 K) (eV per atom): -0.0805
Total DFT energy (no corrections) (eV/atom): -8.672

---

Entry 5:
An optimized crystal structure of Nb2TcPt, computed with PBE.

a = 3.352 Å, b = 3.352 Å, c = 5.936 Å
α = 90.00°, β = 90.00°, γ = 90.00°
Space group P4/mmm (No. 123)
Symmetry-distinct sites (fractional):
Nb 0.000 0.000 0.245 x2
Tc 0.500 0.500 0.000 x1
Pt 0.500 0.500 0.500 x1

Properties
Excess energy over the best structure of this formula in the dataset (meV per atom): 6
ΔH_f (0 K) (eV per atom): -0.3441
Total DFT energy (no corrections) (eV/atom): -9.481

---

Entry 6:
An optimized crystal structure of LaTbPr3Sm, computed with PBE.

a = 8.208 Å, b = 5.228 Å, c = 10.422 Å
α = 90.00°, β = 108.50°, γ = 90.00°
Space group P2_1/m (No. 11)
Symmetry-distinct sites (fractional):
La 0.170 0.250 0.292 x2
Tb 0.498 0.750 0.876 x2
Pr 0.170 0.250 0.793 x2
Pr 0.170 0.750 0.544 x2
Pr 0.171 0.750 0.042 x2
Sm 0.500 0.250 0.627 x2

Properties
ΔH_f (0 K) (eV per atom): 0.0184
Total DFT energy (no corrections) (eV/atom): -4.751

---

no.,spin magnetization (Bohr magnetons per cell)
1,30.39
2,0.00
3,0.00
4,6.51
5,0.00
6,0.00